Record 1
K3Fe2Se4 | PBE | relaxed

Output
SG: No. 15
Energy relative to the lowest polymorph listed for this composition in meV per atom: 21
Mass density in g/cm³: 3.39

POSCAR file:
```
K3Fe2Se4
1.0
7.1392 -0.2063 -0.2256
-0.2875 8.5484 2.3229
-0.3184 0.3414 8.8508
Se K Fe
8 6 4
Direct
0.5182 0.3062 0.9297 Se
0.1120 0.6115 0.7429 Se
0.3880 0.2571 0.3885 Se
0.9818 0.0703 0.6938 Se
0.8880 0.3885 0.2571 Se
0.0182 0.9297 0.3062 Se
0.4818 0.6938 0.0703 Se
0.6120 0.7429 0.6115 Se
0.0521 0.2548 0.9887 K
0.2500 0.5898 0.4102 K
0.9479 0.7452 0.0113 K
0.5521 0.9887 0.2548 K
0.4479 0.0113 0.7452 K
0.7500 0.4102 0.5898 K
0.5564 0.4135 0.1546 Fe
0.9436 0.8454 0.5865 Fe
0.4436 0.5865 0.8454 Fe
0.0564 0.1546 0.4135 Fe
```

Record 2
K4GeSe4 | PBE | relaxed

Output
SG: No. 121
Energy relative to the lowest polymorph listed for this composition in meV per atom: 90
Mass density in g/cm³: 2.35

POSCAR file:
```
K4GeSe4
1.0
-7.5593 0.7753 3.7763
1.4439 -3.3907 -7.6435
6.0133 -5.6543 1.9682
Se K Ge
4 4 1
Direct
0.6412 0.9306 0.9306 Se
0.3588 0.2894 0.2894 Se
0.0000 0.0694 0.7106 Se
0.0000 0.7106 0.0694 Se
0.0000 0.6971 0.6971 K
0.5000 0.5000 0.0000 K
0.0000 0.3029 0.3029 K
0.5000 0.0000 0.5000 K
0.0000 0.0000 0.0000 Ge
```

Record 3
Zn2Ir | PBE | relaxed

Output
SG: No. 139
Formation enthalpy at 0 K in eV per atom: -0.166
Mass density in g/cm³: 12.66

POSCAR file:
```
Zn2Ir
1.0
3.1022 0.0000 0.0000
-1.5511 4.6667 -0.0133
0.0000 1.0395 2.9229
Zn Ir
2 1
Direct
0.3354 0.6708 0.6646 Zn
0.6646 0.3292 0.3354 Zn
0.0000 0.0000 0.0000 Ir
```

Record 4
Cs2NaBeRu | PBE | relaxed

Output
SG: No. 123
Formation enthalpy at 0 K in eV per atom: 1.480
Mass density in g/cm³: 2.67

POSCAR file:
```
Cs2NaBeRu
1.0
-4.2127 -1.3262 -5.0246
-0.9694 -5.0143 2.1363
-5.0629 2.5055 3.5836
Cs Na Be Ru
2 1 1 1
Direct
0.5000 0.0000 0.0000 Cs
0.0000 0.0000 0.5000 Cs
0.0000 0.5000 0.0000 Na
0.0000 0.0000 0.0000 Be
0.5000 0.5000 0.5000 Ru
```

Record 5
MnAu2Se | PBE | relaxed

Output
SG: No. 99
Mass density in g/cm³: 12.16
Total DFT energy (no corrections) in eV per atom: -4.77

POSCAR file:
```
MnAu2Se
1.0
-2.9500 1.1840 -0.1438
-1.1419 -2.9144 -0.5721
-0.7710 -1.0713 6.9961
Au Mn Se
2 1 1
Direct
0.5000 0.5000 0.2718 Au
0.0000 0.0000 0.0179 Au
0.0000 0.0000 0.5159 Mn
0.5000 0.5000 0.6944 Se
```

Record 6
Cr2MoC | PBE | relaxed

Output
SG: No. 122
Formation enthalpy at 0 K in eV per atom: 0.253
Mass density in g/cm³: 7.43

POSCAR file:
```
Cr2MoC
1.0
6.5997 0.0000 0.0000
0.0000 6.5997 0.0000
3.2998 3.2998 2.1744
C Cr Mo
2 4 2
Direct
0.5000 0.5000 0.0000 C
0.2500 0.7500 0.5000 C
0.3750 0.4858 0.7500 Cr
0.8750 0.7642 0.7500 Cr
0.2358 0.6250 0.2500 Cr
0.5142 0.1250 0.2500 Cr
0.0000 0.0000 0.0000 Mo
0.7500 0.2500 0.5000 Mo
```

Record 7
Hg5Ru3 | PBE | relaxed

Output
SG: No. 193
Formation enthalpy at 0 K in eV per atom: 0.641
Energy relative to the lowest polymorph listed for this composition in meV per atom: 58
Mass density in g/cm³: 14.09

POSCAR file:
```
Hg5Ru3
1.0
8.0933 -0.0009 0.0000
4.0478 7.0081 0.0000
0.0000 0.0000 5.4289
Hg Ru
10 6
Direct
0.6667 0.6667 0.5000 Hg
0.3333 0.3333 0.0000 Hg
0.0000 0.2412 0.2500 Hg
0.0000 0.7587 0.7500 Hg
0.7588 0.0000 0.2500 Hg
0.2412 0.7588 0.2500 Hg
0.6667 0.6667 0.0000 Hg
0.3333 0.3333 0.5000 Hg
0.2413 0.0000 0.7500 Hg
0.7588 0.2412 0.7500 Hg
0.6018 0.0000 0.7500 Ru
0.0000 0.6018 0.2500 Ru
0.6018 0.3982 0.2500 Ru
0.3982 0.0000 0.2500 Ru
0.3982 0.6018 0.7500 Ru
0.0000 0.3982 0.7500 Ru
```

Record 8
Cs3Pr2ZrSe6 | PBE | relaxed

Output
SG: No. 12
Mass density in g/cm³: 5.17
Total DFT energy (no corrections) in eV per atom: -5.02

POSCAR file:
```
Cs3Pr2ZrSe6
1.0
-2.5805 6.2351 3.0650
-4.2245 -6.0882 -0.1344
5.4268 -2.4012 6.4602
Pr Se Zr Cs
2 6 1 3
Direct
0.6662 0.3338 0.0000 Pr
0.3338 0.6662 0.0000 Pr
0.2467 0.2467 0.8093 Se
0.3735 0.0628 0.1885 Se
0.9372 0.6265 0.8115 Se
0.0628 0.3735 0.1885 Se
0.6265 0.9372 0.8115 Se
0.7533 0.7533 0.1907 Se
0.0000 0.0000 0.0000 Zr
0.5000 0.5000 0.5000 Cs
0.8286 0.1714 0.5000 Cs
0.1714 0.8286 0.5000 Cs
```

Record 9
CuSIO | PBE | relaxed

Output
SG: No. 1
Energy relative to the lowest polymorph listed for this composition in meV per atom: 64
Mass density in g/cm³: 4.05

POSCAR file:
```
CuSIO
1.0
-5.6256 0.9066 2.0987
-3.5187 -4.9254 1.9072
2.2223 3.8265 5.0537
S I Cu O
2 2 2 2
Direct
0.7930 0.2320 0.5047 S
0.7849 0.6603 0.3150 S
0.6406 0.0297 0.9522 I
0.2906 0.5847 0.6866 I
0.8576 0.2419 0.8222 Cu
0.8916 0.5357 0.6073 Cu
0.4970 0.7984 0.3519 O
0.9548 0.4116 0.0833 O
```

Record 10
Ca2ZnNi4Sb3 | PBE | relaxed

Output
SG: No. 115
Mass density in g/cm³: 6.48
Total DFT energy (no corrections) in eV per atom: -4.58

POSCAR file:
```
Ca2ZnNi4Sb3
1.0
-0.9844 -1.3251 -4.0067
-1.1901 -3.8601 1.5691
-9.5038 3.4195 1.2041
Ca Ni Sb Zn
2 4 3 1
Direct
0.5000 0.0000 0.2470 Ca
0.0000 0.5000 0.7530 Ca
0.5000 0.5000 0.0000 Ni
0.0000 0.0000 0.0000 Ni
0.0000 0.5000 0.3765 Ni
0.5000 0.0000 0.6235 Ni
0.0000 0.5000 0.1323 Sb
0.5000 0.0000 0.8677 Sb
0.0000 0.0000 0.5000 Sb
0.5000 0.5000 0.5000 Zn
```

Record 11
Ca3Ac2Sm2 | PBE | relaxed

Output
SG: No. 65
Formation enthalpy at 0 K in eV per atom: 0.114
Mass density in g/cm³: 5.06

POSCAR file:
```
Ca3Ac2Sm2
1.0
-1.6761 -3.3282 0.2347
4.9212 -2.3093 2.3967
-1.8798 1.8647 13.0201
Ca Ac Sm
3 2 2
Direct
0.5000 0.4275 0.1449 Ca
0.5000 0.5725 0.8551 Ca
0.0000 0.0000 0.0000 Ca
0.5000 0.2874 0.4252 Ac
0.5000 0.7126 0.5748 Ac
0.0000 0.8481 0.3037 Sm
0.0000 0.1519 0.6963 Sm
```

Record 12
Nd4ZnCoI2 | PBE | relaxed

Output
SG: No. 10
Mass density in g/cm³: 6.39
Total DFT energy (no corrections) in eV per atom: -4.38

POSCAR file:
```
Nd4ZnCoI2
1.0
4.1041 0.0000 0.0000
0.0000 7.4779 0.1942
0.0000 -2.5683 8.0270
I Co Nd Zn
2 1 4 1
Direct
0.0000 0.5000 0.5000 I
0.5000 0.0000 0.5000 I
0.5000 0.5000 0.0000 Co
0.5000 0.7267 0.8073 Nd
0.5000 0.2733 0.1927 Nd
0.0000 0.7202 0.1865 Nd
0.0000 0.2798 0.8135 Nd
0.0000 0.0000 0.0000 Zn
```